[1]
The following is a DFT calculation (PBE-GGA) of crystalline Tl3TeP at its relaxed geometry.

abc: 5.4495 5.4495 5.4495
angles: 90.00 90.00 90.00
Closest atoms and distances in Å follow each position.
Element x y z (fractional)
Tl 0.0000 0.5000 0.0000  2 P 2.72
Tl 0.5000 0.0000 0.0000  2 P 2.72
Tl 0.0000 0.0000 0.5000  2 P 2.72
Te 0.5000 0.5000 0.5000  12 Tl 3.85
P 0.0000 0.0000 0.0000  6 Tl 2.72

Calculated values
- symmetry = Pm-3m
- E_form (uncorrected) (eV per atom) = 0.11
- excess energy over the best structure of this formula in the dataset (kJ/mol of atoms) = 0.0


[2]
The following is a DFT calculation (PBE-GGA) of crystalline TlTe2P at its relaxed geometry.

abc: 6.8617 6.8617 6.8617
angles: 143.70 143.70 52.27
Closest atoms and distances in Å follow each position.
Element x y z (fractional)
Tl 0.5000 0.5000 0.0000  4 P 3.02
Te 0.7500 0.2500 0.5000  4 Te 3.02
Te 0.2500 0.7500 0.5000  4 Te 3.02
P 0.0000 0.0000 0.0000  4 Tl 3.02

Calculated values
- symmetry = I4/mmm
- E_form (uncorrected) (eV per atom) = 0.49


Results for M_tot: 0.00, 0.00 (in μB per cell, following the order of the records).
Results for D(E_F): 1.5, 4.1 (in states/eV/f.u., following the order of the records).